Entry 1:
Here is an optimized crystal structure of Si3AgPb2Au12 from Alexandria. Energies are from GGA-PBE.

Computed properties:
The value obtained for the uncorrected formation energy is 0.100 eV per atom.

a b c (Å): 9.1329 9.1329 16.3406
angles (deg): 90.00 90.00 120.00
Last column: nearest neighbours and their distance in Å.
Space group R-3m (No. 166, hexagonal axes)
One atom of each set of equivalent atoms:
Si 0.0000 0.5000 0.0000  6 Au 2.42-2.51
Ag 0.0000 0.0000 0.5000  6 Au 2.81
Pb 0.0000 0.0000 0.1000  3 Au 2.85
Au 0.0200 0.5100 0.8523  1 Si 2.42
Au 0.0362 0.5181 0.3258  2 Si 2.51

---

Entry 2:
Here is an optimized crystal structure of La4SiRuCl2 from Alexandria. Energies are from GGA-PBE.

Computed properties:
The value obtained for the uncorrected formation energy is -1.120 eV per atom.

a b c (Å): 7.5160 4.2034 7.7330
angles (deg): 90.00 107.20 90.00
Last column: nearest neighbours and their distance in Å.
Space group P2/m (No. 10)
One atom of each set of equivalent atoms:
La 0.2292 0.0000 0.2130  2 Ru 2.90, 1 Si 2.97, 1 Cl 3.19
La 0.2422 0.5000 0.7927  1 Ru 2.76, 2 Si 2.98
Si 0.5000 0.0000 0.0000  6 La 2.97-2.98
Ru 0.0000 0.5000 0.0000  6 La 2.76-2.90
Cl 0.0000 0.0000 0.5000  6 La 3.19-3.23
Cl 0.5000 0.5000 0.5000  6 La 3.29-3.39

---

Entry 3:
Here is an optimized crystal structure of LaSnHPb2 from Alexandria. Energies are from GGA-PBE.

Computed properties:
Its energy above the most stable polymorph in this dataset is 967.3 meV per atom.

a b c (Å): 5.6759 5.6759 6.2346
angles (deg): 90.00 90.00 90.00
Last column: nearest neighbours and their distance in Å.
Space group P4/mmm (No. 123)
One atom of each set of equivalent atoms:
La 0.0000 0.0000 0.0000  2 Sn 3.12
Sn 0.0000 0.0000 0.5000  4 Pb 2.84, 2 La 3.12
H 0.5000 0.5000 0.0000  4 La 4.01, 8 Pb 4.22
Pb 0.0000 0.5000 0.5000  2 Sn 2.84

---

Entry 4:
Here is an optimized crystal structure of Pa8Tc2Os from Alexandria. Energies are from GGA-PBE.

Computed properties:
Its formation energy is -82.0 meV/atom.

a b c (Å): 16.8590 5.3237 5.9577
angles (deg): 90.00 110.32 90.00
Last column: nearest neighbours and their distance in Å.
Space group C2/m (No. 12)
One atom of each set of equivalent atoms:
Pa 0.0114 0.0000 0.2503  1 Tc 2.66, 1 Pa 2.87
Pa 0.0972 0.5000 0.6937  1 Os 2.84, 2 Pa 2.95-3.01, 2 Tc 3.05
Pa 0.1723 0.5000 0.3143  1 Tc 2.61, 1 Os 2.86
Pa 0.2128 0.0000 0.0906  1 Tc 2.83, 3 Pa 3.01-3.16
Tc 0.1644 0.0000 0.5864  3 Pa 2.61-2.83
Os 0.0000 0.5000 0.0000  8 Pa 2.84-3.02

---

Entry 5:
Here is an optimized crystal structure of Na3Pa3SbN8 from Alexandria. Energies are from GGA-PBE.

Computed properties:
The value obtained for the uncorrected formation energy is -0.704 eV per atom.

a b c (Å): 6.9699 6.9699 17.2630
angles (deg): 90.00 90.00 120.00
Last column: nearest neighbours and their distance in Å.
Space group R-3m (No. 166, hexagonal axes)
One atom of each set of equivalent atoms:
Na 0.0000 0.5000 0.0000  6 N 2.68-2.73
Pa 0.0000 0.5000 0.5000  6 N 2.26-2.31
Sb 0.0000 0.0000 0.5000  6 N 2.21
N 0.0000 0.0000 0.2263  3 Pa 2.26
N 0.0129 0.5064 0.2286  1 Sb 2.21, 2 Pa 2.31

---

Entry 6:
Here is an optimized crystal structure of Pr4CBr from Alexandria. Energies are from GGA-PBE.

Computed properties:
The value obtained for the uncorrected formation energy is -0.421 eV per atom.

a b c (Å): 8.2221 15.4723 6.7494
angles (deg): 90.00 122.45 90.00
Last column: nearest neighbours and their distance in Å.
Space group C2/c (No. 15)
One atom of each set of equivalent atoms:
Pr 0.2003 0.0628 0.2023  2 C 2.58-2.67
Pr 0.2010 0.1846 0.7305  1 C 2.56
C 0.0000 0.0625 0.7500  6 Pr 2.56-2.67
Br 0.0000 0.4345 0.2500  6 Pr 3.02-3.16

---

Entry 7:
Here is an optimized crystal structure of PuScZnSi from Alexandria. Energies are from GGA-PBE.

Computed properties:
The value obtained for the uncorrected formation energy is -0.336 eV per atom.

a b c (Å): 6.8280 6.8280 6.8280
angles (deg): 90.00 90.00 90.00
Last column: nearest neighbours and their distance in Å.
Space group F-43m (No. 216)
One atom of each set of equivalent atoms:
Pu 0.0000 0.0000 0.0000  4 Zn 2.96, 4 Si 2.96
Sc 0.0000 0.0000 0.5000  4 Si 2.96, 4 Zn 2.96
Zn 0.2500 0.2500 0.7500  4 Sc 2.96, 4 Pu 2.96
Si 0.2500 0.2500 0.2500  4 Pu 2.96, 4 Sc 2.96

---

Entry 8:
Here is an optimized crystal structure of LaGdTmZr from Alexandria. Energies are from GGA-PBE.

Computed properties:
Its formation energy is 190.3 meV/atom.

a b c (Å): 7.8335 7.8335 7.8335
angles (deg): 90.00 90.00 90.00
Last column: nearest neighbours and their distance in Å.
Space group F-43m (No. 216)
One atom of each set of equivalent atoms:
La 0.0000 0.0000 0.0000  4 Tm 3.39, 4 Zr 3.39
Gd 0.0000 0.0000 0.5000  4 Zr 3.39, 4 Tm 3.39
Tm 0.2500 0.2500 0.7500  4 Gd 3.39, 4 La 3.39
Zr 0.2500 0.2500 0.2500  4 La 3.39, 4 Gd 3.39

---

Entry 9:
Here is an optimized crystal structure of Cr3P from Alexandria. Energies are from GGA-PBE.

Computed properties:
Its formation energy is -124.9 meV/atom. Its energy above the most stable polymorph in this dataset is 236.0 meV per atom.

a b c (Å): 2.9570 4.0122 3.8381
angles (deg): 90.00 90.00 90.00
Last column: nearest neighbours and their distance in Å.
Space group Pmm2 (No. 25)
One atom of each set of equivalent atoms:
Cr 0.0000 0.0000 0.0000  4 Cr 2.33-2.51, 4 P 2.50
Cr 0.0000 0.5000 0.4469  4 P 2.37-2.47, 6 Cr 2.51-2.64
Cr 0.5000 0.0000 0.5296  8 Cr 2.33-2.51, 2 P 2.61
P 0.5000 0.5000 0.9634  10 Cr 2.37-2.61

---

Entry 10:
Here is an optimized crystal structure of ZrHgPbSe2 from Alexandria. Energies are from GGA-PBE.

Computed properties:
The value obtained for the uncorrected formation energy is 0.747 eV per atom.

a b c (Å): 5.4946 5.4946 5.8161
angles (deg): 90.00 90.00 90.00
Last column: nearest neighbours and their distance in Å.
Space group P4/mmm (No. 123)
One atom of each set of equivalent atoms:
Zr 0.0000 0.0000 0.0000  2 Pb 2.91
Hg 0.5000 0.5000 0.0000  4 Zr 3.89, 8 Se 4.00
Pb 0.0000 0.0000 0.5000  4 Se 2.75, 2 Zr 2.91
Se 0.0000 0.5000 0.5000  2 Pb 2.75

---

Entry 11:
Here is an optimized crystal structure of PmAl2Ge2 from Alexandria. Energies are from GGA-PBE.

Computed properties:
Its formation energy is -346.0 meV/atom. Its energy above the most stable polymorph in this dataset is 0.0 meV per atom.

a b c (Å): 9.5088 4.1021 10.9651
angles (deg): 90.00 90.00 90.00
Last column: nearest neighbours and their distance in Å.
Space group Pnma (No. 62)
One atom of each set of equivalent atoms:
Pm 0.2177 0.2500 0.2017  7 Ge 3.21-3.26, 4 Al 3.27-3.44
Al 0.0696 0.7500 0.4028  4 Ge 2.50-2.57
Al 0.0726 0.7500 0.9576  3 Ge 2.44-2.64, 2 Al 2.64
Ge 0.0482 0.2500 0.8071  4 Al 2.56-2.82
Ge 0.1747 0.2500 0.4964  4 Al 2.44-2.57

---

Entry 12:
Here is an optimized crystal structure of CaMgP2Au from Alexandria. Energies are from GGA-PBE.

Computed properties:
Its formation energy is 104.4 meV/atom.

a b c (Å): 5.0604 5.0604 4.7656
angles (deg): 90.00 90.00 90.00
Last column: nearest neighbours and their distance in Å.
Space group P4/mmm (No. 123)
One atom of each set of equivalent atoms:
Ca 0.0000 0.0000 0.0000  8 P 3.48, 4 Mg 3.58
Mg 0.5000 0.5000 0.0000  2 Au 2.38
P 0.0000 0.5000 0.5000  2 Au 2.53
Au 0.5000 0.5000 0.5000  2 Mg 2.38, 4 P 2.53

---

Calculated total DFT energy (no corrections), -3.56; -5.88; -3.24; -9.89; -7.58; -5.42; -7.18; -7.82; -8.69; -3.16; -4.64; -3.43 eV per atom (same order as the records).